Entry 1:
The following is a DFT calculation (GGA-PBE) of a relaxed TlTeMo2 crystal.

Results
Distance to the lowest polymorph of the same formula, eV/f.u.: 1.56
ΔE_f (raw), kcal/mol of atoms: 15.6
Final energy, eV per atom: -6.118

abc: 8.7569 3.2295 5.7917
angles: 90.00 102.17 90.00
Closest atoms and distances in Å follow each position.
Space group C2/m (No. 12)
Asymmetric unit:
Tl (0.0000, 0.0000, 0.0000) (multiplicity 2)  6 Mo 2.97-3.01, 2 Tl 3.23, 4 Te 3.32
Te (0.0000, 0.5000, 0.5000) (multiplicity 2)  6 Mo 2.74-2.76
Mo (0.2465, 0.0000, 0.7089) (multiplicity 4)  3 Te 2.74-2.76, 2 Mo 2.92, 3 Tl 2.97-3.01

---

Entry 2:
The following is a DFT calculation (GGA-PBE) of a relaxed TlTe2Mo crystal.

Results
ΔE_f (raw), kcal/mol of atoms: 13.7
Final energy, eV per atom: -4.275

abc: 7.6185 7.6220 3.6241
angles: 90.00 90.30 90.00
Closest atoms and distances in Å follow each position.
Space group C2/m (No. 12)
Asymmetric unit:
Tl (0.0000, 0.0000, 0.0000) (multiplicity 2)  8 Te 3.24-3.25, 2 Tl 3.62
Te (0.2500, 0.2500, 0.5000) (multiplicity 4)  4 Tl 3.24-3.25, 4 Mo 3.24-3.25, 2 Te 3.62
Mo (0.0000, 0.5000, 0.0000) (multiplicity 2)  8 Te 3.24-3.25, 2 Mo 3.62

---

Entry 3:
The following is a DFT calculation (GGA-PBE) of a relaxed Tl4Te3Mo crystal.

Results
ΔE_f (raw), kcal/mol of atoms: 1.4
Final energy, eV per atom: -3.653

abc: 7.8002 7.8002 17.2267
angles: 90.00 90.00 90.00
Closest atoms and distances in Å follow each position.
Space group I4/mcm (No. 140)
Asymmetric unit:
Tl (0.1525, 0.3475, 0.1513) (multiplicity 16)  3 Te 3.24-3.41, 1 Tl 3.36
Te (0.0000, 0.0000, 0.2500) (multiplicity 4)  8 Tl 3.41
Te (0.1725, 0.3275, 0.5000) (multiplicity 8)  2 Mo 2.89
Mo (0.0000, 0.0000, 0.0000) (multiplicity 4)  4 Te 2.89

---

Entry 4:
The following is a DFT calculation (GGA-PBE) of a relaxed Tl2TeMo crystal.

Results
Distance to the lowest polymorph of the same formula, eV/f.u.: 0.00
ΔE_f (raw), kcal/mol of atoms: 4.8
Final energy, eV per atom: -4.468

abc: 3.3318 3.3318 9.1801
angles: 90.00 90.00 90.00
Closest atoms and distances in Å follow each position.
Space group P4mm (No. 99)
Asymmetric unit:
Tl (0.0000, 0.0000, 0.0000) (multiplicity 1)  8 Tl 3.33-3.52
Tl (0.5000, 0.5000, 0.2843) (multiplicity 1)  4 Mo 3.10, 4 Tl 3.33
Te (0.5000, 0.5000, 0.6629) (multiplicity 1)  4 Mo 2.77
Mo (0.0000, 0.0000, 0.5040) (multiplicity 1)  4 Te 2.77, 4 Tl 3.10

---

Entry 5:
The following is a DFT calculation (GGA-PBE) of a relaxed TlTe2Mo crystal.

Results
ΔE_f (raw), kcal/mol of atoms: 6.4
Final energy, eV per atom: -4.593

abc: 3.2429 3.2429 9.9016
angles: 90.00 90.00 90.00
Closest atoms and distances in Å follow each position.
Space group P4mm (No. 99)
Asymmetric unit:
Tl (0.0000, 0.0000, 0.0000) (multiplicity 1)  4 Mo 3.07, 4 Tl 3.24
Te (0.0000, 0.0000, 0.3656) (multiplicity 1)  4 Mo 2.79
Te (0.5000, 0.5000, 0.7131) (multiplicity 1)  4 Te 3.24
Mo (0.5000, 0.5000, 0.2058) (multiplicity 1)  4 Te 2.79, 4 Tl 3.07

---

Entry 6:
The following is a DFT calculation (GGA-PBE) of a relaxed TlTe2Mo crystal.

Results
ΔE_f (raw), kcal/mol of atoms: 5.6
Final energy, eV per atom: -4.627

abc: 7.3727 7.3727 11.1300
angles: 90.00 90.00 90.00
Closest atoms and distances in Å follow each position.
Space group I-42d (No. 122)
Asymmetric unit:
Tl (0.0000, 0.0000, 0.0000) (multiplicity 4)  4 Te 3.38
Te (0.1644, 0.2500, 0.6250) (multiplicity 8)  2 Mo 2.61
Mo (0.0000, 0.0000, 0.5000) (multiplicity 4)  4 Te 2.61

---

Entry 7:
The following is a DFT calculation (GGA-PBE) of a relaxed TlTe2Mo crystal.

Results
ΔE_f (raw), kcal/mol of atoms: 1.1
Final energy, eV per atom: -4.823

abc: 3.4137 3.5765 17.9355
angles: 90.00 90.00 90.00
Closest atoms and distances in Å follow each position.
Space group Imm2 (No. 44)
Asymmetric unit:
Tl (0.0000, 0.0000, 0.0000) (multiplicity 2)  4 Tl 3.41-3.58, 6 Te 3.47-3.60
Te (0.0000, 0.0000, 0.3541) (multiplicity 2)  2 Mo 2.70
Te (0.0000, 0.5000, 0.1659) (multiplicity 2)  4 Mo 2.79
Mo (0.0000, 0.5000, 0.7375) (multiplicity 2)  6 Te 2.70-2.79

---

Entry 8:
The following is a DFT calculation (GGA-PBE) of a relaxed Tl2TeMo crystal.

Results
Distance to the lowest polymorph of the same formula, eV/f.u.: 1.77
ΔE_f (raw), kcal/mol of atoms: 15.0
Final energy, eV per atom: -4.026

abc: 4.2959 4.2959 24.0307
angles: 90.00 90.00 90.00
Closest atoms and distances in Å follow each position.
Space group I-42d (No. 122)
Asymmetric unit:
Tl (0.2463, 0.2500, 0.1250) (multiplicity 8)  4 Tl 3.02-3.06, 2 Mo 3.36, 2 Te 3.37
Te (0.0000, 0.0000, 0.5000) (multiplicity 4)  4 Mo 3.04, 4 Tl 3.37
Mo (0.0000, 0.0000, 0.0000) (multiplicity 4)  4 Te 3.04, 4 Tl 3.36

---

Entry 9:
The following is a DFT calculation (GGA-PBE) of a relaxed TlTeMo2 crystal.

Results
Distance to the lowest polymorph of the same formula, eV/f.u.: 1.09
ΔE_f (raw), kcal/mol of atoms: 12.9
Final energy, eV per atom: -6.234

abc: 10.4058 3.2896 5.1655
angles: 90.00 110.51 90.00
Closest atoms and distances in Å follow each position.
Space group Cm (No. 8)
Asymmetric unit:
Tl (0.0000, 0.0000, 0.0000) (multiplicity 2)  7 Mo 2.88-3.12
Te (0.2144, 0.0000, 0.6452) (multiplicity 2)  7 Mo 2.82-3.15
Mo (0.2647, 0.5000, 0.1728) (multiplicity 2)  2 Mo 2.50
Mo (0.4386, 0.0000, 0.4570) (multiplicity 2)  2 Mo 2.50

---

Entry 10:
The following is a DFT calculation (GGA-PBE) of a relaxed TlTe2Mo crystal.

Results
ΔE_f (raw), kcal/mol of atoms: 5.2
Final energy, eV per atom: -4.645

abc: 3.2843 5.1236 13.2077
angles: 90.00 90.00 90.00
Closest atoms and distances in Å follow each position.
Space group Immm (No. 71)
Asymmetric unit:
Tl (0.0000, 0.0000, 0.0000) (multiplicity 2)  4 Mo 3.04, 2 Tl 3.28, 4 Te 3.40
Te (0.0000, 0.5000, 0.1688) (multiplicity 4)  2 Mo 2.77
Mo (0.0000, 0.0000, 0.5000) (multiplicity 2)  4 Te 2.77, 4 Tl 3.04

---

Entry 11:
The following is a DFT calculation (GGA-PBE) of a relaxed Tl2TeMo crystal.

Results
Distance to the lowest polymorph of the same formula, eV/f.u.: 1.86
ΔE_f (raw), kcal/mol of atoms: 15.5
Final energy, eV per atom: -4.003

abc: 3.7506 4.8510 10.8743
angles: 90.00 90.00 90.00
Closest atoms and distances in Å follow each position.
Space group Cmmm (No. 65)
Asymmetric unit:
Tl (0.0000, 0.0000, 0.2129) (multiplicity 4)  2 Mo 2.98, 4 Tl 3.07
Te (0.0000, 0.5000, 0.5000) (multiplicity 2)  4 Te 3.07
Mo (0.0000, 0.5000, 0.0000) (multiplicity 2)  4 Tl 2.98, 4 Mo 3.07

---

Entry 12:
The following is a DFT calculation (GGA-PBE) of a relaxed TlTeMo2 crystal.

Results
Distance to the lowest polymorph of the same formula, eV/f.u.: 2.33
ΔE_f (raw), kcal/mol of atoms: 20.0
Final energy, eV per atom: -5.926

abc: 4.3261 4.3261 19.5417
angles: 90.00 90.00 90.00
Closest atoms and distances in Å follow each position.
Space group I-42d (No. 122)
Asymmetric unit:
Tl (0.0000, 0.0000, 0.0000) (multiplicity 4)  4 Mo 3.04, 4 Te 3.06
Te (0.0000, 0.0000, 0.5000) (multiplicity 4)  4 Mo 2.77, 4 Tl 3.06
Mo (0.1662, 0.2500, 0.6250) (multiplicity 8)  2 Mo 2.60, 2 Te 2.77